# 1
# Tb6PmTh4 (PBE-GGA, optimized geometry)
data_Tb6PmTh4
_space_group_name_H-M_alt 'P 1'
_space_group_IT_number 1
_cell_length_a 3.448
_cell_length_b 5.896
_cell_length_c 18.206
_cell_angle_alpha 99.32
_cell_angle_beta 95.43
_cell_angle_gamma 90.00
loop_
_space_group_symop_operation_xyz
'x,y,z'
loop_
_atom_site_label
_atom_site_fract_x
_atom_site_fract_y
_atom_site_fract_z
Tb1 0.767 0.267 0.535
Tb2 0.869 0.369 0.737
Tb3 0.131 0.631 0.263
Tb4 0.597 0.097 0.193
Tb5 0.403 0.903 0.807
Tb6 0.233 0.733 0.465
Pm1 0.000 0.000 0.000
Th1 0.456 0.456 0.912
Th2 0.183 0.183 0.365
Th3 0.817 0.817 0.635
Th4 0.544 0.544 0.088
# SG   Immm, No. 71
# Electronic total energy   -5.48 eV/atom
# Formation energy from the elements   172.3 meV per atom
# Calculated volume   33.05 A^3/atom
# M_tot   0.00 μB/atom
# Crystal system   orthorhombic



# 2
# Sm6P2Se3S (PBE-GGA, optimized geometry)
data_Sm6P2Se3S
_space_group_name_H-M_alt 'P 1'
_space_group_IT_number 1
_cell_length_a 4.101
_cell_length_b 8.309
_cell_length_c 9.277
_cell_angle_alpha 104.06
_cell_angle_beta 102.77
_cell_angle_gamma 90.00
loop_
_space_group_symop_operation_xyz
'x,y,z'
loop_
_atom_site_label
_atom_site_fract_x
_atom_site_fract_y
_atom_site_fract_z
Sm1 0.336 0.903 0.672
Sm2 0.672 0.572 0.344
Sm3 0.664 0.097 0.328
Sm4 0.006 0.242 0.012
Sm5 0.994 0.758 0.988
Sm6 0.328 0.428 0.656
P1 0.834 0.668 0.668
P2 0.166 0.332 0.332
Se1 0.500 0.500 0.000
Se2 0.834 0.166 0.669
Se3 0.166 0.834 0.331
S1 0.500 0.000 0.000
# SG   C2/m, No. 12
# Raw formation energy   -1843.6 meV/atom
# Electronic total energy   -6.32 eV/atom
# Calculated volume   24.89 A^3/atom
# M_tot   0.00 μB/atom
# Crystal system   monoclinic



# 3
# Cd2TcMo (PBE-GGA, optimized geometry)
data_Cd2TcMo
_space_group_name_H-M_alt 'P 1'
_space_group_IT_number 1
_cell_length_a 9.945
_cell_length_b 9.945
_cell_length_c 9.945
_cell_angle_alpha 16.88
_cell_angle_beta 16.88
_cell_angle_gamma 16.88
loop_
_space_group_symop_operation_xyz
'x,y,z'
loop_
_atom_site_label
_atom_site_fract_x
_atom_site_fract_y
_atom_site_fract_z
Cd1 0.007 0.007 0.007
Cd2 0.244 0.244 0.244
Mo1 0.491 0.491 0.491
Tc1 0.757 0.757 0.757
# SG   R3m, No. 160
# Electronic total energy   -5.53 eV/atom
# E above lowest polymorph   39 meV/atom
# Formation energy from the elements   224.3 meV per atom
# Calculated volume   18.09 A^3/atom
# M_tot   0.00 μB/atom
# Crystal system   trigonal



# 4
# Pm3Al3Zn (PBE-GGA, optimized geometry)
data_Pm3Al3Zn
_space_group_name_H-M_alt 'P 1'
_space_group_IT_number 1
_cell_length_a 4.534
_cell_length_b 3.769
_cell_length_c 10.443
_cell_angle_alpha 100.40
_cell_angle_beta 102.54
_cell_angle_gamma 90.00
loop_
_space_group_symop_operation_xyz
'x,y,z'
loop_
_atom_site_label
_atom_site_fract_x
_atom_site_fract_y
_atom_site_fract_z
Pm1 0.308 0.808 0.616
Pm2 0.693 0.193 0.386
Pm3 0.000 0.000 0.000
Al1 0.136 0.636 0.272
Al2 0.865 0.365 0.730
Al3 0.564 0.564 0.127
Zn1 0.434 0.434 0.868
# SG   Imm2, No. 44
# Electronic total energy   -4.21 eV/atom
# Formation energy from the elements   -384.9 meV per atom
# Calculated volume   24.46 A^3/atom
# M_tot   0.05 μB/atom
# Crystal system   orthorhombic



# 5
# MnMoRh2 (PBE-GGA, optimized geometry)
data_MnMoRh2
_space_group_name_H-M_alt 'P 1'
_space_group_IT_number 1
_cell_length_a 3.796
_cell_length_b 3.840
_cell_length_c 3.840
_cell_angle_alpha 90.00
_cell_angle_beta 90.00
_cell_angle_gamma 90.00
loop_
_space_group_symop_operation_xyz
'x,y,z'
loop_
_atom_site_label
_atom_site_fract_x
_atom_site_fract_y
_atom_site_fract_z
Mo1 0.500 0.000 0.500
Mn1 0.500 0.500 0.000
Rh1 0.000 0.000 0.000
Rh2 0.000 0.500 0.500
# SG   P4/mmm, No. 123
# Electronic total energy   -8.84 eV/atom
# E above lowest polymorph   0 meV/atom
# Formation energy from the elements   -160.5 meV per atom
# Calculated volume   13.99 A^3/atom
# M_tot   0.38 μB/atom
# Crystal system   tetragonal



# 6
# Cs3Ac3AsO8 (PBE-GGA, optimized geometry)
data_Cs3Ac3AsO8
_space_group_name_H-M_alt 'P 1'
_space_group_IT_number 1
_cell_length_a 7.427
_cell_length_b 7.430
_cell_length_c 8.251
_cell_angle_alpha 116.77
_cell_angle_beta 89.99
_cell_angle_gamma 120.00
loop_
_space_group_symop_operation_xyz
'x,y,z'
loop_
_atom_site_label
_atom_site_fract_x
_atom_site_fract_y
_atom_site_fract_z
Cs1 0.000 0.000 0.000
Cs2 0.000 0.500 0.000
Cs3 0.500 0.500 0.000
Ac1 0.500 0.000 0.500
Ac2 0.500 0.500 0.500
Ac3 0.000 0.500 0.500
As1 0.000 0.000 0.500
O1 0.275 0.550 0.326
O2 0.725 0.450 0.674
O3 0.812 0.624 0.347
O4 0.188 0.376 0.653
O5 0.812 0.035 0.347
O6 0.188 0.965 0.653
O7 0.223 0.035 0.347
O8 0.777 0.965 0.653
# SG   R-3m, No. 166
# Raw formation energy   -2149.6 meV/atom
# Electronic total energy   -6.10 eV/atom
# Calculated volume   22.45 A^3/atom
# M_tot   0.00 μB/atom
# Crystal system   trigonal



# 7
# Na2DyPuS4 (PBE-GGA, optimized geometry)
data_Na2DyPuS4
_space_group_name_H-M_alt 'P 1'
_space_group_IT_number 1
_cell_length_a 4.022
_cell_length_b 6.963
_cell_length_c 7.050
_cell_angle_alpha 109.40
_cell_angle_beta 90.00
_cell_angle_gamma 90.00
loop_
_space_group_symop_operation_xyz
'x,y,z'
loop_
_atom_site_label
_atom_site_fract_x
_atom_site_fract_y
_atom_site_fract_z
Na1 0.500 0.000 0.500
Na2 0.000 0.500 0.500
Dy1 0.500 0.500 0.000
Pu1 0.000 0.000 0.000
S1 0.500 0.244 0.226
S2 0.500 0.756 0.774
S3 0.000 0.260 0.772
S4 0.000 0.740 0.228
# SG   P2/m, No. 10
# Raw formation energy   -1683.5 meV/atom
# Electronic total energy   -6.44 eV/atom
# Calculated volume   23.28 A^3/atom
# M_tot   0.62 μB/atom
# Crystal system   monoclinic



# 8
# SnRu2I (PBE-GGA, optimized geometry)
data_SnRu2I
_space_group_name_H-M_alt 'P 1'
_space_group_IT_number 1
_cell_length_a 4.677
_cell_length_b 4.677
_cell_length_c 4.677
_cell_angle_alpha 60.00
_cell_angle_beta 60.00
_cell_angle_gamma 60.00
loop_
_space_group_symop_operation_xyz
'x,y,z'
loop_
_atom_site_label
_atom_site_fract_x
_atom_site_fract_y
_atom_site_fract_z
I1 0.500 0.500 0.500
Ru1 0.250 0.250 0.250
Ru2 0.750 0.750 0.750
Sn1 0.000 0.000 0.000
# SG   Fm-3m, No. 225
# Raw formation energy   650.6 meV/atom
# Electronic total energy   -5.38 eV/atom
# E above lowest polymorph   0 meV/atom
# Calculated volume   18.09 A^3/atom
# M_tot   0.27 μB/atom
# Crystal system   cubic